Below is TmBiW after structural relaxation, with properties calculated at the PBE level.

Structure (CIF):
```
data_TmBiW
_cell_length_a 6.9843
_cell_length_b 6.9843
_cell_length_c 6.9843
_cell_angle_alpha 90.00
_cell_angle_beta 90.00
_cell_angle_gamma 90.00
_space_group_name_H-M_alt 'F -4 3 m'
_space_group_IT_number 216
_space_group_name_Hall 'F -4 2 3'
loop_
_atom_site_label
_atom_site_fract_x
_atom_site_fract_y
_atom_site_fract_z
Tm1 0.0000 0.0000 0.0000
Bi1 0.2500 0.2500 0.7500
W1 0.2500 0.2500 0.2500
```

Crystal system ... cubic

Below is YTm5Bi6 after structural relaxation, with properties calculated at the PBE level.

Structure (CIF):
```
data_YTm5Bi6
_cell_length_a 7.6683
_cell_length_b 13.2800
_cell_length_c 7.6671
_cell_angle_alpha 90.00
_cell_angle_beta 109.47
_cell_angle_gamma 90.00
_space_group_name_H-M_alt 'C 1 2/m 1'
_space_group_IT_number 12
loop_
_space_group_symop_operation_xyz
'x,y,z'
'-x,-y,-z'
'-x,y,-z'
'x,-y,z'
'x+1/2,y+1/2,z'
'-x+1/2,-y+1/2,-z'
'-x+1/2,y+1/2,-z'
'x+1/2,-y+1/2,z'
loop_
_atom_site_label
_atom_site_fract_x
_atom_site_fract_y
_atom_site_fract_z
Y1 0.0000 0.0000 0.0000
Tm1 0.0000 0.1653 0.5000
Tm2 0.0000 0.3328 0.0000
Tm3 0.0000 0.5000 0.5000
Bi1 0.2481 0.3322 0.7482
Bi2 0.2475 0.5000 0.2504
```

Crystal system ... monoclinic

Below is Y4TmBi5 after structural relaxation, with properties calculated at the PBE level.

Structure (CIF):
```
data_Y4TmBi5
_cell_length_a 4.4584
_cell_length_b 4.4584
_cell_length_c 31.5233
_cell_angle_alpha 90.00
_cell_angle_beta 90.00
_cell_angle_gamma 90.00
_space_group_name_H-M_alt 'I 4/m m m'
_space_group_IT_number 139
_space_group_name_Hall '-I 4 2'
loop_
_atom_site_label
_atom_site_fract_x
_atom_site_fract_y
_atom_site_fract_z
Y1 0.0000 0.0000 0.1000
Y2 0.0000 0.0000 0.3004
Tm1 0.0000 0.0000 0.5000
Bi1 0.0000 0.0000 0.0000
Bi2 0.0000 0.0000 0.2001
Bi3 0.0000 0.0000 0.4008
```

Crystal system ... tetragonal

| no. | DFT total energy (eV/atom) |
| --- | --- |
| 1 | -5.913 |
| 2 | -5.245 |
| 3 | -5.945 |